# 1
Here is PtI4 after structural relaxation from the Open Quantum Materials Database. Energies are from GGA-PBE.

The calculation puts the offset from the most stable computed form at 124 meV per atom. As for the spin magnetization: 0.457 Bohr magnetons per cell.

It has space group Fdd2 (No. 43), with a = 12.617 Å, b = 13.152 Å, c = 8.181 Å, α = 90.00°, β = 90.00° and γ = 90.00°. Symmetry generates all atoms from Pt at (0.000, 0.000, 0.000), I at (0.102, 0.086, 0.263) and I at (0.119, 0.090, 0.778).

# 2
Here is PtI4 after structural relaxation from the Open Quantum Materials Database. Energies are from GGA-PBE.

The calculation puts the offset from the most stable computed form at 43 meV per atom. As for the spin magnetization: 0.101 Bohr magnetons per cell.

It has space group Cmc2_1 (No. 36), with a = 8.227 Å, b = 11.934 Å, c = 13.872 Å, α = 90.00°, β = 90.00° and γ = 90.00°. Symmetry generates all atoms from Pt at (0.250, 0.123, 0.000), I at (0.000, 0.006, 0.081), I at (0.000, 0.241, 0.919), I at (0.000, 0.259, 0.419), I at (0.000, 0.494, 0.581), I at (0.249, 0.019, 0.347) and I at (0.249, 0.266, 0.154).

# 3
Here is PtI after structural relaxation from the Open Quantum Materials Database. Energies are from GGA-PBE.

As for the spin magnetization: 0.006 Bohr magnetons per cell.

It has space group F-43m (No. 216), with a = 6.128 Å, b = 6.128 Å, c = 6.128 Å, α = 90.00°, β = 90.00° and γ = 90.00°. Symmetry generates all atoms from Pt at (0.000, 0.000, 0.000) and I at (0.250, 0.250, 0.250).

# 4
Here is PtI after structural relaxation from the Open Quantum Materials Database. Energies are from GGA-PBE.

As for the spin magnetization: 0.003 Bohr magnetons per cell.

It has space group R-3m (No. 166, hexagonal axes), with a = 3.9242 Å, b = 3.9242 Å, c = 10.2480 Å, α = 90.00°, β = 90.00° and γ = 120.00°. Symmetry generates all atoms from Pt at (0.0000, 0.0000, 0.0000) and I at (0.0000, 0.0000, 0.5000).

# 5
Here is PtI after structural relaxation from the Open Quantum Materials Database. Energies are from GGA-PBE.

As for the spin magnetization: 0.003 Bohr magnetons per cell.

It has space group Fm-3m (No. 225), with a = 5.685 Å, b = 5.685 Å, c = 5.685 Å, α = 90.00°, β = 90.00° and γ = 90.00°. Symmetry generates all atoms from Pt at (0.000, 0.000, 0.000) and I at (0.000, 0.000, 0.500).

# 6
Here is Pt2I after structural relaxation from the Open Quantum Materials Database. Energies are from GGA-PBE.

The calculation puts the offset from the most stable computed form at 576 meV per atom. As for the spin magnetization: 7.998 Bohr magnetons per cell.

It has space group Fd-3m (No. 227, origin choice 2), with a = 11.503 Å, b = 11.503 Å, c = 11.503 Å, α = 90.00°, β = 90.00° and γ = 90.00°. Symmetry generates all atoms from Pt at (0.000, 0.000, 0.000) and I at (0.125, 0.125, 0.125).

# 7
Here is PtI4 after structural relaxation from the Open Quantum Materials Database. Energies are from GGA-PBE.

The calculation puts the offset from the most stable computed form at 306 meV per atom. As for the spin magnetization: 0.009 Bohr magnetons per cell.

It has space group P-43m (No. 215), with a = 5.691 Å, b = 5.691 Å, c = 5.691 Å, α = 90.00°, β = 90.00° and γ = 90.00°. Symmetry generates all atoms from Pt at (0.000, 0.000, 0.000) and I at (0.262, 0.262, 0.262).

# 8
Here is PtI4 after structural relaxation from the Open Quantum Materials Database. Energies are from GGA-PBE.

The calculation puts the offset from the most stable computed form at 18 meV per atom. As for the spin magnetization: 0.009 Bohr magnetons per cell.

It has space group C2/c (No. 15), with a = 11.505 Å, b = 11.680 Å, c = 12.270 Å, α = 90.00°, β = 115.28° and γ = 90.00°. Symmetry generates all atoms from Pt at (0.184, 0.130, 0.372), I at (0.055, 0.132, 0.130), I at (0.093, 0.374, 0.652), I at (0.190, 0.100, 0.888) and I at (0.195, 0.364, 0.385).

# 9
Here is PtI4 after structural relaxation from the Open Quantum Materials Database. Energies are from GGA-PBE.

The calculation puts the offset from the most stable computed form at 0 meV per atom. As for the spin magnetization: 0.001 Bohr magnetons per cell.

It has space group Pbca (No. 61), with a = 6.991 Å, b = 13.331 Å, c = 15.969 Å, α = 90.00°, β = 90.00° and γ = 90.00°. Symmetry generates all atoms from Pt at (0.094, 0.177, 0.189), I at (0.058, 0.705, 0.933), I at (0.087, 0.711, 0.694), I at (0.220, 0.562, 0.316) and I at (0.249, 0.557, 0.073).

# 10
Here is PtI after structural relaxation from the Open Quantum Materials Database. Energies are from GGA-PBE.

As for the spin magnetization: 0.003 Bohr magnetons per cell.

It has space group P-6m2 (No. 187), with a = 3.7931 Å, b = 3.7931 Å, c = 3.7524 Å, α = 90.00°, β = 90.00° and γ = 120.00°. Symmetry generates all atoms from Pt at (0.0000, 0.0000, 0.0000) and I at (0.3333, 0.6667, 0.5000).

# 11
Here is PtI4 after structural relaxation from the Open Quantum Materials Database. Energies are from GGA-PBE.

The calculation puts the offset from the most stable computed form at 20 meV per atom. As for the spin magnetization: 0.004 Bohr magnetons per cell.

It has space group P2/c (No. 13), with a = 6.677 Å, b = 8.070 Å, c = 6.985 Å, α = 90.00°, β = 107.15° and γ = 90.00°. Symmetry generates all atoms from Pt at (0.000, 0.120, 0.250), I at (0.232, 0.120, 0.992) and I at (0.258, 0.355, 0.464).

# 12
Here is Pt2I after structural relaxation from the Open Quantum Materials Database. Energies are from GGA-PBE.

The calculation puts the offset from the most stable computed form at 0 meV per atom. As for the spin magnetization: 0.005 Bohr magnetons per cell.

It has space group Fd-3m (No. 227, origin choice 2), with a = 7.791 Å, b = 7.791 Å, c = 7.791 Å, α = 90.00°, β = 90.00° and γ = 90.00°. Symmetry generates all atoms from Pt at (0.000, 0.000, 0.000) and I at (0.125, 0.125, 0.625).

Table of total energy (eV per atom), in record order: -2.438, -2.520, -3.424, -3.452, -3.459, -3.271, -2.256, -2.545, -2.562, -3.145, -2.543, -3.847